A geometry-optimized CaW2Se structure, computed with PBE.

a b c (Å): 9.4068 9.4068 9.4068
angles (deg): 18.77 18.77 18.77
Positions (direct):
W1 0.4868 0.4868 0.4868
W2 0.0132 0.0132 0.0132
Se1 0.7500 0.7500 0.7500
Ca1 0.2500 0.2500 0.2500

Calculated values
**ΔE_f (raw)**: 3.0 eV per formula unit
**Density of states at the Fermi level**: 0.611 states/eV per atom
**VASP energy**: -28.4 eV per cell

A geometry-optimized CaYSe2 structure, computed with PBE.

a b c (Å): 9.0849 9.0849 9.0849
angles (deg): 26.77 26.77 26.77
Positions (direct):
Se1 0.8924 0.8924 0.8924
Ca1 0.0000 0.0000 0.0000
Y1 0.5000 0.5000 0.5000
Se2 0.1076 0.1076 0.1076

Calculated values
**ΔE_f (raw)**: -6.1 eV per formula unit
**Density of states at the Fermi level**: 0.265 states/eV per atom
**VASP energy**: -21.5 eV per cell

A geometry-optimized CaY2Se structure, computed with PBE.

a b c (Å): 9.2530 9.2530 7.2241
angles (deg): 50.18 50.18 90.00
Positions (direct):
Se1 0.0000 0.0000 0.0000
Y1 0.8750 0.9699 0.7500
Ca1 0.2500 0.7500 0.5000
Y2 0.0301 0.6250 0.2500
Y3 0.7199 0.1250 0.2500
Se2 0.7500 0.2500 0.5000
Ca2 0.5000 0.5000 0.0000
Y4 0.3750 0.2801 0.7500

Calculated values
**ΔE_f (raw)**: -2.1 eV per formula unit
**Density of states at the Fermi level**: 0.868 states/eV per atom
**VASP energy**: -41.1 eV per cell

> Among the records above, which one has the highest ΔE_f (raw)?

CaW2Se